# 1
Compound: ReBS2F
Source: the Alexandria database
Functional: PBE
Structure: optimized geometry

Output
SG: No. 123
Calculated total energy, eV per atom: -4.013
Density of states at the Fermi level, states/eV per cell: 6.08

Structure (POSCAR):
```
ReBS2F
1.0
-1.233 -2.188 4.212
-3.271 -2.762 -2.392
2.606 -2.584 -0.580
Re S B F
1 2 1 1
direct
0.000 0.000 0.500
0.000 0.500 0.000
0.500 0.000 0.000
0.500 0.500 0.500
0.000 0.000 0.000
```

# 2
Compound: Nd2HoIr
Source: the Alexandria database
Functional: PBE
Structure: optimized geometry

Output
SG: No. 62
Calculated total energy, eV per atom: -6.229
Density of states at the Fermi level, states/eV per cell: 17.65
E_form, meV/atom: -485.7
ΔE to the lowest computed polymorph, meV/atom: 0

Structure (POSCAR):
```
Nd2HoIr
1.0
6.433 0.000 0.000
0.000 7.307 0.000
0.000 0.000 9.832
Nd Ho Ir
8 4 4
direct
0.174 0.679 0.065
0.326 0.179 0.435
0.826 0.321 0.565
0.674 0.821 0.935
0.826 0.321 0.935
0.674 0.821 0.565
0.174 0.679 0.435
0.326 0.179 0.065
0.649 0.538 0.250
0.851 0.038 0.250
0.351 0.462 0.750
0.149 0.962 0.750
0.045 0.380 0.250
0.455 0.880 0.250
0.955 0.620 0.750
0.545 0.120 0.750
```

# 3
Compound: Sm12Al5Cd2
Source: the Alexandria database
Functional: PBE
Structure: optimized geometry

Output
SG: No. 12
Calculated total energy, eV per atom: -4.266
Density of states at the Fermi level, states/eV per cell: 18.45
E_form, meV/atom: -204.1

Structure (POSCAR):
```
Sm12Al5Cd2
1.0
10.573 0.000 0.000
-5.287 6.004 1.979
0.000 0.026 8.410
Sm Al Cd
12 5 2
direct
0.897 0.795 0.173
0.984 0.646 0.828
0.662 0.646 0.828
0.166 0.785 0.409
0.619 0.785 0.409
0.383 0.766 0.751
0.617 0.234 0.249
0.834 0.215 0.591
0.381 0.215 0.591
0.016 0.354 0.172
0.338 0.354 0.172
0.103 0.205 0.827
0.230 0.459 0.456
0.393 0.786 0.147
0.000 0.000 0.500
0.607 0.214 0.853
0.770 0.541 0.544
0.719 0.000 0.000
0.281 0.000 0.000
```

# 4
Compound: TeAu2
Source: the Alexandria database
Functional: PBE
Structure: optimized geometry

Output
SG: No. 205
Calculated total energy, eV per atom: -3.062
Density of states at the Fermi level, states/eV per cell: 2.83

Structure (POSCAR):
```
TeAu2
1.0
-2.690 3.628 4.982
1.631 -4.823 4.393
5.943 2.966 1.050
Te Au
4 8
direct
0.000 0.000 0.000
0.500 0.500 0.000
0.500 0.000 0.500
0.000 0.500 0.500
0.625 0.625 0.375
0.375 0.375 0.625
0.125 0.875 0.625
0.875 0.125 0.375
0.375 0.125 0.125
0.625 0.875 0.875
0.875 0.375 0.875
0.125 0.625 0.125
```

# 5
Compound: Th2RuSe
Source: the Alexandria database
Functional: PBE
Structure: optimized geometry

Output
SG: No. 160
Calculated total energy, eV per atom: -7.911
Density of states at the Fermi level, states/eV per cell: 1.50
ΔE to the lowest computed polymorph, meV/atom: 57

Structure (POSCAR):
```
Th2RuSe
1.0
-3.836 -1.087 -0.755
-0.836 -3.782 -1.209
-2.373 -3.743 6.543
Th Ru Se
2 1 1
direct
0.070 0.070 0.789
0.263 0.263 0.212
0.669 0.669 0.994
0.499 0.499 0.504
```

# 6
Compound: Ba4NaCdIn2
Source: the Alexandria database
Functional: PBE
Structure: optimized geometry

Output
SG: No. 166
Calculated total energy, eV per atom: -2.225
Density of states at the Fermi level, states/eV per cell: 7.71
E_form, meV/atom: -299.5

Structure (POSCAR):
```
Ba4NaCdIn2
1.0
-5.112 3.345 -0.125
-4.859 -1.723 3.280
-0.001 5.909 8.796
Ba Na Cd In
4 1 1 2
direct
0.380 0.380 0.861
0.870 0.870 0.389
0.130 0.130 0.611
0.620 0.620 0.139
0.000 0.000 0.000
0.500 0.500 0.500
0.746 0.746 0.762
0.254 0.254 0.238
```

# 7
Compound: LaMgRh
Source: the Alexandria database
Functional: PBE
Structure: optimized geometry

Output
SG: No. 107
Calculated total energy, eV per atom: -5.059
Density of states at the Fermi level, states/eV per cell: 1.63
E_form, meV/atom: -434.7

Structure (POSCAR):
```
LaMgRh
1.0
6.538 0.008 -0.008
5.661 3.271 0.003
0.877 0.225 3.256
La Mg Rh
1 1 1
direct
0.028 0.028 0.972
0.296 0.296 0.704
0.676 0.676 0.324
```

# 8
Compound: HoEr2CrN4
Source: the Alexandria database
Functional: PBE
Structure: optimized geometry

Output
SG: No. 63
Calculated total energy, eV per atom: -8.346
Density of states at the Fermi level, states/eV per cell: 6.48

Structure (POSCAR):
```
HoEr2CrN4
1.0
-3.043 -0.915 -1.013
3.456 -0.153 -4.755
2.574 -11.021 2.227
Ho Er Cr N
2 4 2 8
direct
0.111 0.222 0.750
0.889 0.778 0.250
0.369 0.738 0.543
0.631 0.262 0.043
0.631 0.262 0.457
0.369 0.738 0.957
0.844 0.689 0.750
0.156 0.311 0.250
0.267 0.534 0.130
0.733 0.466 0.630
0.733 0.466 0.870
0.267 0.534 0.370
0.000 0.000 0.500
0.000 0.000 0.000
0.437 0.874 0.750
0.563 0.126 0.250
```

The highest calculated total energy belongs to which entry? Ba4NaCdIn2

Among the records above, which one has the highest calculated total energy? Ba4NaCdIn2

Which value of calculated total energy does entry 2 give? -6.229 eV per atom

What did the fourth record say?
Compound: TeAu2
Source: the Alexandria database
Functional: PBE
Structure: optimized geometry

Output
SG: No. 205
Calculated total energy, eV per atom: -3.062
Density of states at the Fermi level, states/eV per cell: 2.83

Structure (POSCAR):
```
TeAu2
1.0
-2.690 3.628 4.982
1.631 -4.823 4.393
5.943 2.966 1.050
Te Au
4 8
direct
0.000 0.000 0.000
0.500 0.500 0.000
0.500 0.000 0.500
0.000 0.500 0.500
0.625 0.625 0.375
0.375 0.375 0.625
0.125 0.875 0.625
0.875 0.125 0.375
0.375 0.125 0.125
0.625 0.875 0.875
0.875 0.375 0.875
0.125 0.625 0.125
```